No. 1
Material: DyY6Er2
Method: DFT, GGA-PBE
State: optimized geometry

The structure belongs to space group C2/c (No. 15); the cell edges are 13.395, 11.672 and 9.021 Å and the angles 90.00°, 125.31° and 90.00°. Symmetry generates all atoms from Dy at (0.000, 0.083, 0.250), Y at (0.083, 0.389, 0.987), Y at (0.152, 0.349, 0.406), Y at (0.205, 0.091, 0.131) and Er at (0.108, 0.172, 0.695).

For the energy, the calculation gives -0.42379 Ry per atom. The formation energy comes out at 0.619 eV per formula unit.

---

No. 2
Material: Si2Ag
Method: DFT, GGA-PBE
State: optimized geometry

The structure belongs to space group C2/m (No. 12); the cell edges are 11.841, 2.814 and 6.357 Å and the angles 90.00°, 100.09° and 90.00°. Symmetry generates all atoms from Si at (0.019, 0.000, 0.324), Si at (0.196, 0.500, 0.338) and Ag at (0.151, 0.500, 0.887).

For the energy, the calculation gives -0.31246 Ry per atom.

---

| no. | density of states at the Fermi level (states/eV/atom) | relative energy among the computed polymorphs (meV per atom) | total magnetic moment (μB/f.u.) |
| --- | --- | --- | --- |
| 1 | 1.48 | 0 | 0.00 |
| 2 | 0.18 | 0 | 0.00 |